The following is a DFT calculation (PBE) of a geometry-optimized SbPdAu structure.

```
3
Lattice="-0.542 3.686 2.527 -2.668 3.334 -1.425 -3.935 0.765 2.048" Properties=species:S:1:pos:R:3 pbc="T T T"
Sb 0.000 0.000 0.000
Au -3.573 3.892 1.575
Pd -1.786 1.946 0.788
```

Calculated values
Space group: F-43m (216)
Formation energy without anion corrections (eV/atom): -0.1842

---

The following is a DFT calculation (PBE) of a geometry-optimized Nd2Y6Ho3Sc structure.

```
12
Lattice="-0.775 3.783 -4.783 -4.338 -4.130 1.385 -3.448 7.854 8.084" Properties=species:S:1:pos:R:3 pbc="T T T"
Nd -3.149 -1.489 -0.673
Nd -1.964 1.143 -2.725
Y -5.839 6.931 2.486
Y -4.716 1.712 -0.527
Y -2.722 0.576 2.201
Y -7.016 4.318 4.523
Y -3.845 5.795 5.214
Y -1.545 3.189 0.164
Ho -5.469 1.113 4.402
Ho -3.092 6.394 0.285
Ho -4.281 3.754 2.343
Sc 0.000 0.000 0.000
```

Calculated values
Space group: C2/m (12)
Energy of formation (meV/atom): 29.3

---

The following is a DFT calculation (PBE) of a geometry-optimized Pr4Sb8Rh3 structure.

```
15
Lattice="4.459 0.000 0.000 0.000 4.459 0.000 0.000 0.000 19.902" Properties=species:S:1:pos:R:3 pbc="T T T"
Pr 2.230 0.000 7.442
Pr 2.230 0.000 17.524
Pr 0.000 2.230 2.378
Pr 0.000 2.230 12.459
Sb 2.230 0.000 1.289
Sb 2.230 0.000 11.410
Sb 0.000 2.230 8.492
Sb 0.000 2.230 18.613
Sb 2.230 2.230 4.928
Sb 2.230 2.230 14.974
Sb 0.000 0.000 4.918
Sb 0.000 0.000 14.984
Rh 2.230 2.230 9.951
Rh 0.000 0.000 0.000
Rh 0.000 0.000 9.951
```

Calculated values
Space group: P-4m2 (115)
Formation energy without anion corrections (eV/atom): -0.8016

---

The following is a DFT calculation (PBE) of a geometry-optimized TiAlReAu structure.

```
4
Lattice="-1.758 -1.853 3.641 0.702 -4.306 0.865 2.632 -1.188 3.383" Properties=species:S:1:pos:R:3 pbc="T T T"
Re 0.394 -1.837 1.972
Au 1.182 -5.510 5.916
Al 0.000 0.000 0.000
Ti 0.788 -3.673 3.944
```

Calculated values
Space group: F-43m (216)
Energy of formation (meV/atom): -253.9

---

The following is a DFT calculation (PBE) of a geometry-optimized Ac3PaPt4 structure.

```
16
Lattice="-1.544 -7.244 -0.752 5.733 0.866 4.744 -5.542 0.495 6.607" Properties=species:S:1:pos:R:3 pbc="T T T"
Ac -3.222 -5.249 1.897
Ac -3.863 -1.500 3.958
Ac -1.767 -4.690 5.952
Ac 1.021 -4.939 2.629
Ac 0.415 -1.193 4.647
Ac -2.373 -0.944 7.970
Pa -6.026 -4.998 5.240
Pa -1.060 -1.751 0.615
Pt -3.716 -6.587 4.623
Pt -4.436 -3.013 6.554
Pt -1.373 -3.105 3.126
Pt 0.658 0.223 1.778
Pt -2.010 -6.106 8.821
Pt 0.021 -2.778 7.473
Pt 3.084 -2.871 4.045
Pt 2.364 0.704 5.976
```

Calculated values
Space group: P2/c (13)
Energy of formation (meV/atom): -1097.9

---

The following is a DFT calculation (PBE) of a geometry-optimized MnHg2Sb structure.

```
4
Lattice="8.691 -0.190 -0.112 8.005 3.391 -0.112 8.005 1.535 3.026" Properties=species:S:1:pos:R:3 pbc="T T T"
Hg 24.651 4.727 2.796
Hg 5.913 1.134 0.671
Mn 12.272 2.353 1.392
Sb 18.916 3.627 2.146
```

Calculated values
Space group: R3m (160)
Formation energy without anion corrections (eV/atom): 0.2144

---

The following is a DFT calculation (PBE) of a geometry-optimized BaP2HCl structure.

```
5
Lattice="4.101 0.000 0.000 0.000 4.101 0.000 0.000 0.000 6.230" Properties=species:S:1:pos:R:3 pbc="T T T"
P 0.000 2.051 0.000
P 2.051 0.000 0.000
Ba 2.051 2.051 3.115
H 0.000 0.000 0.000
Cl 0.000 0.000 3.115
```

Calculated values
Space group: P4/mmm (123)

---

The following is a DFT calculation (PBE) of a geometry-optimized HfVIN2 structure.

```
5
Lattice="4.149 0.000 0.000 0.000 4.149 0.000 0.000 0.000 5.897" Properties=species:S:1:pos:R:3 pbc="T T T"
I 0.000 0.000 2.949
N 0.000 2.075 0.000
N 2.075 0.000 0.000
Hf 0.000 0.000 0.000
V 2.075 2.075 2.949
```

Calculated values
Space group: P4/mmm (123)
Formation energy without anion corrections (eV/atom): 0.5312

---

The following is a DFT calculation (PBE) of a geometry-optimized Al2Si2Pb structure.

```
10
Lattice="7.936 0.000 0.000 0.000 7.936 0.000 0.000 0.000 3.035" Properties=species:S:1:pos:R:3 pbc="T T T"
Pb 0.000 0.000 0.000
Pb 3.968 3.968 0.000
Si 2.787 6.755 0.000
Si 6.755 5.149 0.000
Si 5.149 1.181 0.000
Si 1.181 2.787 0.000
Al 1.110 5.078 1.518
Al 5.078 6.826 1.518
Al 6.826 2.858 1.518
Al 2.858 1.110 1.518
```

Calculated values
Space group: P4/mbm (127)
Formation energy without anion corrections (eV/atom): 0.2813

---

The following is a DFT calculation (PBE) of a geometry-optimized NdHo2Mg2 structure.

```
10
Lattice="-3.512 -0.897 0.978 1.841 -4.568 2.424 3.314 7.439 11.499" Properties=species:S:1:pos:R:3 pbc="T T T"
Nd 0.715 1.012 10.685
Nd 0.928 0.963 4.217
Ho 1.520 -2.802 2.888
Ho 0.123 4.777 12.014
Ho 2.122 -0.105 7.512
Ho -0.479 2.080 7.389
Mg 0.062 -1.915 5.666
Mg 1.580 3.890 9.235
Mg 2.780 2.853 12.586
Mg -1.137 -0.879 2.315
```

Calculated values
Space group: P2_1/m (11)
Energy of formation (meV/atom): -65.5

---

The following is a DFT calculation (PBE) of a geometry-optimized AcZnRh structure.

```
3
Lattice="4.089 0.000 0.000 0.000 4.089 0.000 -2.045 -2.045 4.471" Properties=species:S:1:pos:R:3 pbc="T T T"
Ac 2.045 2.045 1.165
Rh 0.000 0.000 2.264
Zn 2.045 2.045 4.172
```

Calculated values
Space group: I4mm (107)
Energy of formation (meV/atom): -226.8

---

The following is a DFT calculation (PBE) of a geometry-optimized HoErThCd structure.

```
4
Lattice="3.598 0.000 0.000 0.000 3.598 0.000 0.000 0.000 8.800" Properties=species:S:1:pos:R:3 pbc="T T T"
Ho 1.799 1.799 7.048
Er 1.799 1.799 3.009
Th 0.000 0.000 0.634
Cd 0.000 0.000 5.015
```

Calculated values
Space group: P4mm (99)
Energy of formation (meV/atom): -162.6

---

| no. | E (Ry/atom) |
| --- | --- |
| 1 | -0.322 |
| 2 | -0.417 |
| 3 | -0.422 |
| 4 | -0.521 |
| 5 | -0.503 |
| 6 | -0.240 |
| 7 | -0.286 |
| 8 | -0.509 |
| 9 | -0.303 |
| 10 | -0.256 |
| 11 | -0.329 |
| 12 | -0.333 |